The following is a DFT calculation (PBE) of an optimized crystal structure of CrPb3C.

Calculated values
volume	27.84	Å³/atom
mass density	8.18	g/cm³
N(E_F)	1.54	states/eV per cell
final energy	-4.471	eV/atom
DFT formation energy	1524	meV/atom
space group	Pm-3m
E above lowest polymorph	0.0	meV/atom
magnetization	3.9	μB per formula unit

a = 5.1828 Å, b = 5.1828 Å, c = 5.1828 Å
α = 90.00°, β = 90.00°, γ = 90.00°
With the nearest neighbours (Å) after each atom.
Fractional coordinates of all 5 atoms:
Cr: 0.0000 0.0000 0.0000  6 Pb 2.59
Pb: 0.0000 0.0000 0.5000  2 Cr 2.59
Pb: 0.0000 0.5000 0.0000  2 Cr 2.59
Pb: 0.5000 0.0000 0.0000  2 Cr 2.59
C: 0.5000 0.5000 0.5000  12 Pb 3.66